The following is a PBE+U calculation of ZnCr2O4 after structural relaxation, from Alexandria.

Geometry as CIF:
```
data_ZnCr2O4
_chemical_formula_sum 'Zn4 Cr8 O16'
_cell_length_a 2.934
_cell_length_b 9.674
_cell_length_c 9.922
_cell_angle_alpha 90.00
_cell_angle_beta 90.00
_cell_angle_gamma 90.00
_space_group_name_H-M_alt 'C m c m'
_space_group_IT_number 63
_space_group_name_Hall '-C 2c 2'
loop_
_atom_site_label
_atom_site_type_symbol
_atom_site_fract_x
_atom_site_fract_y
_atom_site_fract_z
Zn1 Zn 0.000 0.109 0.250
Cr1 Cr 0.000 0.367 0.071
O1 O 0.000 0.000 0.000
O2 O 0.000 0.269 0.611
O3 O 0.000 0.463 0.250
```

Properties
Crystal system ... orthorhombic
Magnetic moment ... 24.00 μB/cell
Mass density ... 5.505 g cm⁻³
Excess energy over the best structure of this formula in the dataset ... 175 meV per atom